## one
DFT (GGA-PBE) results for a relaxed IrRuAu3 crystal.

Properties
Volume = 24.93 A^3/atom

Unit cell a=4.9951 b=4.9951 c=4.9951 alpha=90.00 beta=90.00 gamma=90.00
Last column: nearest neighbours and their distance in Å.
Positions (direct):
Ir 0.0000 0.0000 0.0000  6 Au 2.50
Ru 0.5000 0.5000 0.5000  12 Au 3.53
Au 0.0000 0.0000 0.5000  2 Ir 2.50
Au 0.0000 0.5000 0.0000  2 Ir 2.50
Au 0.5000 0.0000 0.0000  2 Ir 2.50

---

## two
DFT (GGA-PBE) results for a relaxed IrRuAu3 crystal.

Properties
Volume = 23.95 A^3/atom

Unit cell a=4.9292 b=4.9292 c=4.9292 alpha=90.00 beta=90.00 gamma=90.00
Last column: nearest neighbours and their distance in Å.
Positions (direct):
Ir 0.0000 0.0000 0.0000  12 Au 3.49
Ru 0.5000 0.5000 0.5000  6 Au 2.46
Au 0.0000 0.5000 0.5000  2 Ru 2.46
Au 0.5000 0.0000 0.5000  2 Ru 2.46
Au 0.5000 0.5000 0.0000  2 Ru 2.46

---

Relative energies, in kJ/mol of atoms, with the most stable structure set to zero: one 0.0; two 23.1.